{
  "formula": "Zr5Cd4",
  "functional": "GGA-PBEsol",
  "state": "relaxed",
  "lattice_angstrom": [[5.915, 0.000, 0.000], [0.000, 8.592, 0.000], [0.000, -4.296, 7.441]],
  "species": ["Cd", "Cd", "Cd", "Cd", "Cd", "Cd", "Cd", "Cd", "Zr", "Zr", "Zr", "Zr", "Zr", "Zr", "Zr", "Zr", "Zr", "Zr"],
  "fractional_positions": [[0.000, 0.000, 0.000], [0.500, 0.000, 0.000], [0.750, 0.000, 0.342], [0.750, 0.342, 0.000], [0.750, 0.658, 0.658], [0.250, 0.000, 0.658], [0.250, 0.658, 0.000], [0.250, 0.342, 0.342], [0.750, 0.000, 0.674], [0.750, 0.674, 0.000], [0.750, 0.326, 0.326], [0.250, 0.000, 0.326], [0.250, 0.326, 0.000], [0.250, 0.674, 0.674], [0.000, 0.333, 0.667], [0.500, 0.667, 0.333], [0.000, 0.667, 0.333], [0.500, 0.333, 0.667]],
  "relative_energy_mev_per_atom": 5.8,
  "total_energy_ev_per_atom": -5.652
}